DFT (GGA-PBE) results for a relaxed structure of LaSm2TmMg.

Geometry as extended XYZ:
```
10
Lattice="6.295 0.000 0.000 0.000 5.670 0.000 -2.952 0.000 8.902" Properties=species:S:1:pos:R:3 pbc="T T T"
La -0.896 1.417 3.436
La 4.239 4.252 5.466
Sm 1.209 4.252 3.497
Sm 2.290 1.417 1.727
Sm 1.053 4.252 7.175
Sm 2.134 1.417 5.405
Tm 0.950 4.252 0.005
Tm 2.393 1.417 8.897
Mg -0.938 1.417 7.204
Mg 4.281 4.252 1.698
```

Computed properties:
Total moment, μB/atom: 0.000
DFT formation energy, eV per atom: 0.02
Space-group type: No. 11
E, eV/atom: -4.0673